No. 1
Li2YRh, optimized geometry, DFT PBEsol; space-group type = R-3m, No. 166; magnetic moment = 0.001 μB per atom; energy of formation from the pure elements = 0.278 eV/atom
1.0
1.462 0.844 9.834
-1.462 0.844 9.834
0.000 -1.688 9.834
Li Y Rh
2 1 1
direct
0.234 0.234 0.234
0.766 0.766 0.766
0.000 0.000 0.000
0.500 0.500 0.500

No. 2
Li2YRh, optimized geometry, DFT PBEsol; space-group type = Immm, No. 71; magnetic moment = 0.000 μB per atom; energy of formation from the pure elements = -0.298 eV/atom
1.0
-1.832 2.034 4.687
1.832 -2.034 4.687
1.832 2.034 -4.687
Li Y Rh
2 1 1
direct
0.238 0.238 0.000
0.762 0.762 0.000
0.500 0.000 0.500
0.000 0.500 0.500